1.
First-principles (PBE) data for an optimized crystal structure of Li2As2Cl, as listed in Alexandria.

a b c (Å): 7.589 7.589 3.665
angles (deg): 90.00 90.00 90.00
Fractional coordinates of all 10 atoms:
Li (0.190, 0.310, 0.000)
Li (0.310, 0.810, 0.000)
Li (0.690, 0.190, 0.000)
Li (0.810, 0.690, 0.000)
As (0.104, 0.604, 0.500)
As (0.396, 0.104, 0.500)
As (0.604, 0.896, 0.500)
As (0.896, 0.396, 0.500)
Cl (0.000, 0.000, 0.500)
Cl (0.500, 0.500, 0.500)

Total magnetic moment: 0.00 μB/f.u.
E_form (uncorrected): -0.49 eV per atom
Energy relative to the lowest polymorph listed for this composition: 0.0000 eV/atom
E: -3.48 eV per atom
Space-group type: P4/mbm (127)

***

2.
First-principles (PBE) data for an optimized crystal structure of Li3AsCl6, as listed in Alexandria.

a b c (Å): 7.643 7.643 7.643
angles (deg): 91.39 91.39 91.39
Fractional coordinates of all 20 atoms:
Li (0.070, 0.738, 0.583)
Li (0.262, 0.417, 0.930)
Li (0.417, 0.930, 0.262)
Li (0.583, 0.070, 0.738)
Li (0.738, 0.583, 0.070)
Li (0.930, 0.262, 0.417)
As (0.000, 0.000, 0.000)
As (0.500, 0.500, 0.500)
Cl (0.050, 0.690, 0.902)
Cl (0.098, 0.950, 0.310)
Cl (0.192, 0.412, 0.579)
Cl (0.310, 0.098, 0.950)
Cl (0.412, 0.579, 0.192)
Cl (0.421, 0.808, 0.588)
Cl (0.579, 0.192, 0.412)
Cl (0.588, 0.421, 0.808)
Cl (0.690, 0.902, 0.050)
Cl (0.808, 0.588, 0.421)
Cl (0.902, 0.050, 0.690)
Cl (0.950, 0.310, 0.098)

Total magnetic moment: 0.00 μB/f.u.
E_form (uncorrected): -1.30 eV per atom
E: -3.45 eV per atom
Space-group type: R-3 (148)

***

3.
First-principles (PBE) data for an optimized crystal structure of Li2AsCl, as listed in Alexandria.

a b c (Å): 7.568 7.568 3.177
angles (deg): 90.00 90.00 23.40
Fractional coordinates of all 4 atoms:
Li (0.000, 0.000, 0.000)
Li (0.205, 0.205, 0.502)
As (0.380, 0.380, 0.500)
Cl (0.635, 0.635, 0.002)

Total magnetic moment: 0.00 μB/f.u.
E_form (uncorrected): -0.96 eV per atom
Energy relative to the lowest polymorph listed for this composition: 0.0244 eV/atom
E: -3.54 eV per atom
Space-group type: Cm (8)

***

4.
First-principles (PBE) data for an optimized crystal structure of LiAsCl4, as listed in Alexandria.

a b c (Å): 3.869 6.538 6.827
angles (deg): 86.89 73.62 89.98
Fractional coordinates of all 6 atoms:
Li (0.000, 0.000, 0.000)
As (0.545, 0.500, 0.000)
Cl (0.040, 0.367, 0.772)
Cl (0.415, 0.163, 0.198)
Cl (0.612, 0.837, 0.803)
Cl (0.813, 0.633, 0.228)

Total magnetic moment: 0.00 μB/f.u.
E_form (uncorrected): -1.02 eV per atom
Energy relative to the lowest polymorph listed for this composition: 0.0000 eV/atom
E: -3.34 eV per atom
Space-group type: P1 (1)

***

5.
First-principles (PBE) data for an optimized crystal structure of LiAsCl, as listed in Alexandria.

a b c (Å): 3.290 3.290 6.581
angles (deg): 90.00 90.00 120.00
Fractional coordinates of all 3 atoms:
Li (0.000, 0.000, 0.000)
As (0.667, 0.333, 0.387)
Cl (0.333, 0.667, 0.824)

Total magnetic moment: 0.67 μB/f.u.
E_form (uncorrected): -0.43 eV per atom
Energy relative to the lowest polymorph listed for this composition: 0.1276 eV/atom
E: -3.23 eV per atom
Space-group type: P3m1 (156)

***

6.
First-principles (PBE) data for an optimized crystal structure of Li2AsCl5, as listed in Alexandria.

a b c (Å): 6.897 6.897 6.541
angles (deg): 102.57 102.57 61.42
Fractional coordinates of all 8 atoms:
Li (0.000, 0.000, 0.000)
Li (0.543, 0.543, 0.532)
As (0.036, 0.036, 0.540)
Cl (0.225, 0.729, 0.259)
Cl (0.356, 0.855, 0.807)
Cl (0.729, 0.225, 0.259)
Cl (0.855, 0.356, 0.807)
Cl (0.862, 0.862, 0.624)

Total magnetic moment: 0.00 μB/f.u.
E_form (uncorrected): -1.17 eV per atom
E: -3.39 eV per atom
Space-group type: Cm (8)

***

7.
First-principles (PBE) data for an optimized crystal structure of Li4AsCl2, as listed in Alexandria.

a b c (Å): 7.429 7.429 7.429
angles (deg): 140.59 140.59 56.96
Fractional coordinates of all 7 atoms:
Li (0.000, 0.500, 0.500)
Li (0.190, 0.190, 0.000)
Li (0.500, 0.000, 0.500)
Li (0.810, 0.810, 0.000)
As (0.000, 0.000, 0.000)
Cl (0.362, 0.362, 0.000)
Cl (0.638, 0.638, 0.000)

Total magnetic moment: 1.03 μB/f.u.
E_form (uncorrected): -0.91 eV per atom
E: -3.20 eV per atom
Space-group type: I4/mmm (139)

***

8.
First-principles (PBE) data for an optimized crystal structure of Li2AsCl, as listed in Alexandria.

a b c (Å): 3.113 3.092 7.390
angles (deg): 90.00 100.25 90.00
Fractional coordinates of all 4 atoms:
Li (0.209, 0.000, 0.279)
Li (0.791, 0.000, 0.721)
As (0.500, 0.500, 0.000)
Cl (0.000, 0.500, 0.500)

Total magnetic moment: 0.00 μB/f.u.
E_form (uncorrected): -0.92 eV per atom
Energy relative to the lowest polymorph listed for this composition: 0.0699 eV/atom
E: -3.50 eV per atom
Space-group type: P2/m (10)

***

9.
First-principles (PBE) data for an optimized crystal structure of LiAsCl4, as listed in Alexandria.

a b c (Å): 6.487 6.494 10.645
angles (deg): 90.00 90.00 90.00
Fractional coordinates of all 12 atoms:
Li (0.000, 0.000, 0.000)
Li (0.500, 0.000, 0.500)
As (0.000, 0.000, 0.500)
As (0.000, 0.500, 0.000)
Cl (0.200, 0.253, 0.114)
Cl (0.200, 0.747, 0.886)
Cl (0.248, 0.197, 0.616)
Cl (0.248, 0.803, 0.384)
Cl (0.752, 0.197, 0.384)
Cl (0.752, 0.803, 0.616)
Cl (0.800, 0.253, 0.886)
Cl (0.800, 0.747, 0.114)

Total magnetic moment: 0.00 μB/f.u.
E_form (uncorrected): -0.93 eV per atom
Energy relative to the lowest polymorph listed for this composition: 0.0866 eV/atom
E: -3.26 eV per atom
Space-group type: P222 (16)

***

10.
First-principles (PBE) data for an optimized crystal structure of Li2AsCl, as listed in Alexandria.

a b c (Å): 3.055 3.055 7.258
angles (deg): 90.00 90.00 90.00
Fractional coordinates of all 4 atoms:
Li (0.000, 0.000, 0.217)
Li (0.000, 0.000, 0.783)
As (0.500, 0.500, 0.500)
Cl (0.500, 0.500, 0.000)

Total magnetic moment: 0.00 μB/f.u.
E_form (uncorrected): -0.91 eV per atom
Energy relative to the lowest polymorph listed for this composition: 0.0754 eV/atom
E: -3.49 eV per atom
Space-group type: P4/mmm (123)

***

11.
First-principles (PBE) data for an optimized crystal structure of LiAs2Cl6, as listed in Alexandria.

a b c (Å): 10.452 10.452 7.097
angles (deg): 100.93 100.93 107.37
Fractional coordinates of all 18 atoms:
Li (0.004, 0.996, 0.750)
Li (0.996, 0.004, 0.250)
As (0.223, 0.429, 0.753)
As (0.429, 0.223, 0.253)
As (0.571, 0.777, 0.747)
As (0.777, 0.571, 0.247)
Cl (0.062, 0.170, 0.572)
Cl (0.077, 0.538, 0.783)
Cl (0.170, 0.062, 0.072)
Cl (0.303, 0.503, 0.511)
Cl (0.462, 0.923, 0.717)
Cl (0.497, 0.697, 0.989)
Cl (0.503, 0.303, 0.011)
Cl (0.538, 0.077, 0.283)
Cl (0.697, 0.497, 0.489)
Cl (0.830, 0.938, 0.928)
Cl (0.923, 0.462, 0.217)
Cl (0.938, 0.830, 0.428)

Total magnetic moment: 0.01 μB/f.u.
E_form (uncorrected): -0.74 eV per atom
E: -3.22 eV per atom
Space-group type: C2/c (15)

***

12.
First-principles (PBE) data for an optimized crystal structure of Li2AsCl, as listed in Alexandria.

a b c (Å): 7.625 7.625 7.625
angles (deg): 156.46 156.41 33.57
Fractional coordinates of all 4 atoms:
Li (0.000, 0.000, 0.000)
Li (0.712, 0.212, 0.500)
As (0.335, 0.835, 0.500)
Cl (0.580, 0.580, 0.000)

Total magnetic moment: 0.00 μB/f.u.
E_form (uncorrected): -0.95 eV per atom
Energy relative to the lowest polymorph listed for this composition: 0.0329 eV/atom
E: -3.53 eV per atom
Space-group type: Imm2 (44)

***

13.
First-principles (PBE) data for an optimized crystal structure of LiAsCl, as listed in Alexandria.

a b c (Å): 4.812 4.812 3.051
angles (deg): 90.00 90.00 120.00
Fractional coordinates of all 3 atoms:
Li (0.000, 0.000, 0.000)
As (0.667, 0.333, 0.507)
Cl (0.333, 0.667, 0.510)

Total magnetic moment: 0.00 μB/f.u.
E_form (uncorrected): -0.10 eV per atom
Energy relative to the lowest polymorph listed for this composition: 0.4505 eV/atom
E: -2.91 eV per atom
Space-group type: P3m1 (156)